1.
BaCu | PBEsol | relaxed

The structure in CIF format:
```
data_BaCu
_space_group_name_H-M_alt 'R -3 m'
_space_group_IT_number 166
_space_group_name_Hall '-R 3 2"'
_cell_length_a 4.3714
_cell_length_b 4.3714
_cell_length_c 24.2328
_cell_angle_alpha 90.00
_cell_angle_beta 90.00
_cell_angle_gamma 120.00
loop_
_atom_site_label
_atom_site_type_symbol
_atom_site_fract_x
_atom_site_fract_y
_atom_site_fract_z
Ba1 Ba 0.0000 0.0000 0.0848
Cu1 Cu 0.0000 0.0000 0.3333
```

The calculated total energy comes out at -3.26 eV per atom. The formation energy is -0.01 eV per atom. Its crystal system is trigonal.

***

2.
BaCu2 | PBEsol | relaxed

The structure in CIF format:
```
data_BaCu2
_space_group_name_H-M_alt 'C 1 2/m 1'
_space_group_IT_number 12
_cell_length_a 11.348
_cell_length_b 4.156
_cell_length_c 7.404
_cell_angle_alpha 90.00
_cell_angle_beta 128.85
_cell_angle_gamma 90.00
loop_
_space_group_symop_operation_xyz
'x,y,z'
'-x,-y,-z'
'-x,y,-z'
'x,-y,z'
'x+1/2,y+1/2,z'
'-x+1/2,-y+1/2,-z'
'-x+1/2,y+1/2,-z'
'x+1/2,-y+1/2,z'
loop_
_atom_site_label
_atom_site_type_symbol
_atom_site_fract_x
_atom_site_fract_y
_atom_site_fract_z
Ba1 Ba 0.063 0.000 0.289
Cu1 Cu 0.137 0.500 0.687
Cu2 Cu 0.232 0.500 0.090
```

The calculated total energy comes out at -3.54 eV per atom. The formation energy is 0.07 eV per atom. Its crystal system is monoclinic.

***

3.
BaCu | PBEsol | relaxed

The structure in CIF format:
```
data_BaCu
_space_group_name_H-M_alt 'R -3 m'
_space_group_IT_number 166
_space_group_name_Hall '-R 3 2"'
_cell_length_a 5.3805
_cell_length_b 5.3805
_cell_length_c 12.1829
_cell_angle_alpha 90.00
_cell_angle_beta 90.00
_cell_angle_gamma 120.00
loop_
_atom_site_label
_atom_site_type_symbol
_atom_site_fract_x
_atom_site_fract_y
_atom_site_fract_z
Ba1 Ba 0.0000 0.0000 0.1325
Cu1 Cu 0.0000 0.0000 0.3928
```

The calculated total energy comes out at -2.93 eV per atom. The formation energy is 0.31 eV per atom. Its crystal system is trigonal.

***

4.
BaCu | PBEsol | relaxed

The structure in CIF format:
```
data_BaCu
_space_group_name_H-M_alt 'P 4/m m m'
_space_group_IT_number 123
_space_group_name_Hall '-P 4 2'
_cell_length_a 3.860
_cell_length_b 3.860
_cell_length_c 3.837
_cell_angle_alpha 90.00
_cell_angle_beta 90.00
_cell_angle_gamma 90.00
loop_
_atom_site_label
_atom_site_type_symbol
_atom_site_fract_x
_atom_site_fract_y
_atom_site_fract_z
Ba1 Ba 0.000 0.000 0.000
Cu1 Cu 0.500 0.500 0.500
```

The calculated total energy comes out at -3.10 eV per atom. The formation energy is 0.15 eV per atom. Its crystal system is tetragonal.

***

5.
Ba2DyCu4O8 | PBEsol | relaxed

The structure in CIF format:
```
data_Ba2DyCu4O8
_space_group_name_H-M_alt 'C m m m'
_space_group_IT_number 65
_space_group_name_Hall '-C 2 2'
_cell_length_a 3.845
_cell_length_b 26.860
_cell_length_c 3.830
_cell_angle_alpha 90.00
_cell_angle_beta 90.00
_cell_angle_gamma 90.00
loop_
_atom_site_label
_atom_site_type_symbol
_atom_site_fract_x
_atom_site_fract_y
_atom_site_fract_z
Ba1 Ba 0.000 0.136 0.000
Dy1 Dy 0.000 0.000 0.000
Cu1 Cu 0.000 0.288 0.500
Cu2 Cu 0.000 0.438 0.500
O1 O 0.000 0.052 0.500
O2 O 0.000 0.218 0.500
O3 O 0.000 0.356 0.500
O4 O 0.000 0.447 0.000
```

The calculated total energy comes out at -6.28 eV per atom. Its crystal system is orthorhombic. The raw formation energy comes out at -1705 meV per atom.

***

6.
Ba2DyCu3O7 | PBEsol | relaxed

The structure in CIF format:
```
data_Ba2DyCu3O7
_space_group_name_H-M_alt 'P m m m'
_space_group_IT_number 47
_cell_length_a 3.798
_cell_length_b 3.864
_cell_length_c 11.507
_cell_angle_alpha 90.00
_cell_angle_beta 90.00
_cell_angle_gamma 90.00
loop_
_space_group_symop_operation_xyz
'x,y,z'
'-x,-y,-z'
'-x,-y,z'
'x,y,-z'
'x,-y,-z'
'-x,y,z'
'-x,y,-z'
'x,-y,z'
loop_
_atom_site_label
_atom_site_type_symbol
_atom_site_fract_x
_atom_site_fract_y
_atom_site_fract_z
Ba1 Ba 0.000 0.000 0.182
Dy1 Dy 0.000 0.000 0.500
Cu1 Cu 0.500 0.500 0.000
Cu2 Cu 0.500 0.500 0.353
O1 O 0.000 0.500 0.378
O2 O 0.500 0.000 0.000
O3 O 0.500 0.000 0.378
O4 O 0.500 0.500 0.162
```

The calculated total energy comes out at -6.40 eV per atom. Its crystal system is orthorhombic. The raw formation energy comes out at -1859 meV per atom.

***

7.
BaDy2CuO5 | PBEsol | relaxed

The structure in CIF format:
```
data_BaDy2CuO5
_space_group_name_H-M_alt 'P n m a'
_space_group_IT_number 62
_cell_length_a 12.091
_cell_length_b 5.625
_cell_length_c 7.094
_cell_angle_alpha 90.00
_cell_angle_beta 90.00
_cell_angle_gamma 90.00
loop_
_space_group_symop_operation_xyz
'x,y,z'
'-x,-y,-z'
'-x+1/2,-y,z+1/2'
'x+1/2,y,-z+1/2'
'x+1/2,-y+1/2,-z+1/2'
'-x+1/2,y+1/2,z+1/2'
'-x,y+1/2,-z'
'x,-y+1/2,z'
loop_
_atom_site_label
_atom_site_type_symbol
_atom_site_fract_x
_atom_site_fract_y
_atom_site_fract_z
Ba1 Ba 0.096 0.250 0.069
Dy1 Dy 0.075 0.750 0.397
Dy2 Dy 0.212 0.250 0.615
Cu1 Cu 0.160 0.750 0.785
O1 O 0.067 0.506 0.665
O2 O 0.101 0.750 0.082
O3 O 0.227 0.004 0.356
```

The calculated total energy comes out at -7.50 eV per atom. Its crystal system is orthorhombic. The raw formation energy comes out at -2758 meV per atom.

***

8.
Ba2ErCu3O7 | PBEsol | relaxed

The structure in CIF format:
```
data_Ba2ErCu3O7
_space_group_name_H-M_alt 'P m m m'
_space_group_IT_number 47
_cell_length_a 3.786
_cell_length_b 3.857
_cell_length_c 11.493
_cell_angle_alpha 90.00
_cell_angle_beta 90.00
_cell_angle_gamma 90.00
loop_
_space_group_symop_operation_xyz
'x,y,z'
'-x,-y,-z'
'-x,-y,z'
'x,y,-z'
'x,-y,-z'
'-x,y,z'
'-x,y,-z'
'x,-y,z'
loop_
_atom_site_label
_atom_site_type_symbol
_atom_site_fract_x
_atom_site_fract_y
_atom_site_fract_z
Ba1 Ba 0.000 0.000 0.182
Er1 Er 0.000 0.000 0.500
Cu1 Cu 0.500 0.500 0.000
Cu2 Cu 0.500 0.500 0.354
O1 O 0.000 0.500 0.380
O2 O 0.500 0.000 0.000
O3 O 0.500 0.000 0.379
O4 O 0.500 0.500 0.162
```

The calculated total energy comes out at -6.40 eV per atom. Its crystal system is orthorhombic. The raw formation energy comes out at -1863 meV per atom.

***

9.
BaEr2CuO5 | PBEsol | relaxed

The structure in CIF format:
```
data_BaEr2CuO5
_space_group_name_H-M_alt 'P n m a'
_space_group_IT_number 62
_cell_length_a 12.010
_cell_length_b 5.589
_cell_length_c 7.036
_cell_angle_alpha 90.00
_cell_angle_beta 90.00
_cell_angle_gamma 90.00
loop_
_space_group_symop_operation_xyz
'x,y,z'
'-x,-y,-z'
'-x+1/2,-y,z+1/2'
'x+1/2,y,-z+1/2'
'x+1/2,-y+1/2,-z+1/2'
'-x+1/2,y+1/2,z+1/2'
'-x,y+1/2,-z'
'x,-y+1/2,z'
loop_
_atom_site_label
_atom_site_type_symbol
_atom_site_fract_x
_atom_site_fract_y
_atom_site_fract_z
Ba1 Ba 0.096 0.250 0.070
Er1 Er 0.075 0.750 0.398
Er2 Er 0.212 0.250 0.615
Cu1 Cu 0.160 0.750 0.785
O1 O 0.067 0.505 0.663
O2 O 0.101 0.750 0.084
O3 O 0.227 0.003 0.358
```

The calculated total energy comes out at -7.51 eV per atom. Its crystal system is orthorhombic. The raw formation energy comes out at -2783 meV per atom.

***

10.
Ba2Er2CuPtO8 | PBEsol | relaxed

The structure in CIF format:
```
data_Ba2Er2CuPtO8
_space_group_name_H-M_alt 'P n m a'
_space_group_IT_number 62
_cell_length_a 13.074
_cell_length_b 5.627
_cell_length_c 10.239
_cell_angle_alpha 90.00
_cell_angle_beta 90.00
_cell_angle_gamma 90.00
loop_
_space_group_symop_operation_xyz
'x,y,z'
'-x,-y,-z'
'-x+1/2,-y,z+1/2'
'x+1/2,y,-z+1/2'
'x+1/2,-y+1/2,-z+1/2'
'-x+1/2,y+1/2,z+1/2'
'-x,y+1/2,-z'
'x,-y+1/2,z'
loop_
_atom_site_label
_atom_site_type_symbol
_atom_site_fract_x
_atom_site_fract_y
_atom_site_fract_z
Ba1 Ba 0.077 0.250 0.092
Ba2 Ba 0.207 0.750 0.313
Er1 Er 0.083 0.250 0.486
Er2 Er 0.142 0.750 0.686
Cu1 Cu 0.040 0.250 0.766
Pt1 Pt 0.194 0.750 0.966
O1 O 0.007 0.006 0.635
O2 O 0.087 0.750 0.107
O3 O 0.114 0.508 0.859
O4 O 0.203 0.250 0.313
O5 O 0.217 0.009 0.556
```

The calculated total energy comes out at -7.17 eV per atom. Its crystal system is orthorhombic. The raw formation energy comes out at -2356 meV per atom.

***

11.
Ba3Er2Cu2PtO10 | PBEsol | relaxed

The structure in CIF format:
```
data_Ba3Er2Cu2PtO10
_space_group_name_H-M_alt 'C 1 2/m 1'
_space_group_IT_number 12
_cell_length_a 12.374
_cell_length_b 5.766
_cell_length_c 7.352
_cell_angle_alpha 90.00
_cell_angle_beta 105.96
_cell_angle_gamma 90.00
loop_
_space_group_symop_operation_xyz
'x,y,z'
'-x,-y,-z'
'-x,y,-z'
'x,-y,z'
'x+1/2,y+1/2,z'
'-x+1/2,-y+1/2,-z'
'-x+1/2,y+1/2,-z'
'x+1/2,-y+1/2,z'
loop_
_atom_site_label
_atom_site_type_symbol
_atom_site_fract_x
_atom_site_fract_y
_atom_site_fract_z
Ba1 Ba 0.000 0.000 0.000
Ba2 Ba 0.154 0.000 0.544
Er1 Er 0.189 0.500 0.875
Cu1 Cu 0.088 0.500 0.197
Pt1 Pt 0.000 0.500 0.500
O1 O 0.019 0.280 0.721
O2 O 0.168 0.500 0.552
O3 O 0.185 0.271 0.126
```

The calculated total energy comes out at -6.89 eV per atom. Its crystal system is monoclinic. The raw formation energy comes out at -2200 meV per atom.

***

12.
BaSrErCu3O7 | PBEsol | relaxed

The structure in CIF format:
```
data_BaSrErCu3O7
_space_group_name_H-M_alt 'P m m 2'
_space_group_IT_number 25
_cell_length_a 3.726
_cell_length_b 3.841
_cell_length_c 11.376
_cell_angle_alpha 90.00
_cell_angle_beta 90.00
_cell_angle_gamma 90.00
loop_
_space_group_symop_operation_xyz
'x,y,z'
'-x,-y,z'
'-x,y,z'
'x,-y,z'
loop_
_atom_site_label
_atom_site_type_symbol
_atom_site_fract_x
_atom_site_fract_y
_atom_site_fract_z
Ba1 Ba 0.000 0.000 0.000
Sr1 Sr 0.000 0.000 0.638
Er1 Er 0.000 0.000 0.323
Cu1 Cu 0.500 0.500 0.176
Cu2 Cu 0.500 0.500 0.470
Cu3 Cu 0.500 0.500 0.815
O1 O 0.000 0.500 0.203
O2 O 0.000 0.500 0.444
O3 O 0.500 0.000 0.201
O4 O 0.500 0.000 0.448
O5 O 0.500 0.000 0.806
O6 O 0.500 0.500 0.652
O7 O 0.500 0.500 0.979
```

The calculated total energy comes out at -6.40 eV per atom. Its crystal system is orthorhombic. The raw formation energy comes out at -1884 meV per atom.

***

13.
BaErCuS3 | PBEsol | relaxed

The structure in CIF format:
```
data_BaErCuS3
_space_group_name_H-M_alt 'C m c m'
_space_group_IT_number 63
_space_group_name_Hall '-C 2c 2'
_cell_length_a 3.937
_cell_length_b 13.359
_cell_length_c 10.015
_cell_angle_alpha 90.00
_cell_angle_beta 90.00
_cell_angle_gamma 90.00
loop_
_atom_site_label
_atom_site_type_symbol
_atom_site_fract_x
_atom_site_fract_y
_atom_site_fract_z
Ba1 Ba 0.000 0.244 0.250
Er1 Er 0.000 0.500 0.000
Cu1 Cu 0.000 0.031 0.750
S1 S 0.000 0.131 0.562
S2 S 0.000 0.434 0.750
```

The calculated total energy comes out at -5.85 eV per atom. Its crystal system is orthorhombic. The raw formation energy comes out at -1760 meV per atom.

***

14.
BaEuFeCuO5 | PBEsol | relaxed

The structure in CIF format:
```
data_BaEuFeCuO5
_space_group_name_H-M_alt 'P 4 m m'
_space_group_IT_number 99
_cell_length_a 3.869
_cell_length_b 3.869
_cell_length_c 7.556
_cell_angle_alpha 90.00
_cell_angle_beta 90.00
_cell_angle_gamma 90.00
loop_
_space_group_symop_operation_xyz
'x,y,z'
'-y,x,z'
'-x,-y,z'
'y,-x,z'
'-x,y,z'
'y,x,z'
'x,-y,z'
'-y,-x,z'
loop_
_atom_site_label
_atom_site_type_symbol
_atom_site_fract_x
_atom_site_fract_y
_atom_site_fract_z
Ba1 Ba 0.000 0.000 0.000
Eu1 Eu 0.000 0.000 0.478
Fe1 Fe 0.500 0.500 0.722
Cu1 Cu 0.500 0.500 0.263
O1 O 0.000 0.500 0.283
O2 O 0.000 0.500 0.679
O3 O 0.500 0.500 0.963
```

The calculated total energy comes out at -7.77 eV per atom. Its crystal system is tetragonal. The raw formation energy comes out at -1962 meV per atom.

***

15.
Ba4Eu2Cu6O13 | PBEsol | relaxed

The structure in CIF format:
```
data_Ba4Eu2Cu6O13
_space_group_name_H-M_alt 'F m m m'
_space_group_IT_number 69
_space_group_name_Hall '-F 2 2'
_cell_length_a 7.650
_cell_length_b 7.775
_cell_length_c 23.563
_cell_angle_alpha 90.00
_cell_angle_beta 90.00
_cell_angle_gamma 90.00
loop_
_atom_site_label
_atom_site_type_symbol
_atom_site_fract_x
_atom_site_fract_y
_atom_site_fract_z
Ba1 Ba 0.242 0.000 0.095
Eu1 Eu 0.250 0.000 0.250
Cu1 Cu 0.000 0.241 0.000
Cu2 Cu 0.000 0.248 0.321
O1 O 0.000 0.000 0.000
O2 O 0.000 0.000 0.185
O3 O 0.000 0.000 0.313
O4 O 0.000 0.229 0.424
O5 O 0.250 0.250 0.186
```

The calculated total energy comes out at -6.71 eV per atom. Its crystal system is orthorhombic. The raw formation energy comes out at -1746 meV per atom.

***

16.
Ba4PrEuCu6O14 | PBEsol | relaxed

The structure in CIF format:
```
data_Ba4PrEuCu6O14
_space_group_name_H-M_alt 'C m m m'
_space_group_IT_number 65
_space_group_name_Hall '-C 2 2'
_cell_length_a 7.778
_cell_length_b 23.211
_cell_length_c 3.839
_cell_angle_alpha 90.00
_cell_angle_beta 90.00
_cell_angle_gamma 90.00
loop_
_atom_site_label
_atom_site_type_symbol
_atom_site_fract_x
_atom_site_fract_y
_atom_site_fract_z
Ba1 Ba 0.000 0.160 0.000
Ba2 Ba 0.000 0.340 0.000
Pr1 Pr 0.000 0.000 0.000
Eu1 Eu 0.000 0.500 0.000
Cu1 Cu 0.248 0.423 0.500
Cu2 Cu 0.250 0.250 0.500
O1 O 0.000 0.066 0.500
O2 O 0.000 0.251 0.500
O3 O 0.000 0.436 0.500
O4 O 0.247 0.435 0.000
O5 O 0.250 0.170 0.500
```

The calculated total energy comes out at -6.53 eV per atom. Its crystal system is orthorhombic. The raw formation energy comes out at -1763 meV per atom.